Entry 1:
## Cd2ReBr8 (PBE)

Data for a geometry-optimized Cd2ReBr8 structure.

Geometry as POSCAR:
```
Cd2ReBr8
1.0
-5.721 2.151 -2.842
-1.578 -8.578 -1.861
-4.034 -6.385 4.742
Br Cd Re
8 2 1
Cartesian
-5.711 -0.270 -2.034 Br
-3.904 -3.734 -0.212 Br
-6.191 -5.638 -2.571 Br
-7.429 -9.078 0.252 Br
-5.142 -7.174 2.610 Br
-5.622 -12.541 2.074 Br
-7.466 -4.499 0.858 Br
-3.867 -8.312 -0.819 Br
-7.808 -11.486 0.910 Cd
-3.525 -1.326 -0.871 Cd
0.000 0.000 0.000 Re
```

Calculated values
As for the crystal system: monoclinic. The calculation puts the formation energy (no corrections) at -5.66 eV/f.u.

Entry 2:
## CdRe2Br (PBE)

Data for a geometry-optimized CdRe2Br structure.

Geometry as POSCAR:
```
CdRe2Br
1.0
2.883 -0.016 0.000
-1.462 2.485 0.000
0.000 0.000 9.840
Cd Re Br
1 2 1
Cartesian
0.711 1.234 7.380 Cd
0.000 0.000 0.044 Re
0.000 0.000 4.876 Re
0.711 1.234 2.460 Br
```

Calculated values
As for the energy above the lowest structure with this stoichiometry: 883 meV/atom. As for the crystal system: orthorhombic. The calculation puts the formation energy (no corrections) at 4.71 eV/f.u. As for the density of states at the Fermi level: 3.59 states/eV per cell.